The following is a GGA-PBE calculation of InFeCoRh after structural relaxation, from Alexandria.

The structure in CIF format:
```
data_InFeCoRh
_chemical_formula_sum 'In4 Fe4 Co4 Rh4'
_cell_length_a 6.1432
_cell_length_b 6.1432
_cell_length_c 6.1432
_cell_angle_alpha 90.00
_cell_angle_beta 90.00
_cell_angle_gamma 90.00
_space_group_name_H-M_alt 'P 1'
_space_group_IT_number 1
_space_group_name_Hall 'P 1'
loop_
_atom_site_label
_atom_site_type_symbol
_atom_site_fract_x
_atom_site_fract_y
_atom_site_fract_z
_atom_site_occupancy
In1 In 0.0000 0.0000 0.0000 1
In2 In 0.0000 0.5000 0.5000 1
In3 In 0.5000 0.0000 0.5000 1
In4 In 0.5000 0.5000 0.0000 1
Fe1 Fe 0.0000 0.0000 0.5000 1
Fe2 Fe 0.0000 0.5000 0.0000 1
Fe3 Fe 0.5000 0.0000 0.0000 1
Fe4 Fe 0.5000 0.5000 0.5000 1
Co1 Co 0.2500 0.2500 0.7500 1
Co2 Co 0.2500 0.7500 0.2500 1
Co3 Co 0.7500 0.2500 0.2500 1
Co4 Co 0.7500 0.7500 0.7500 1
Rh1 Rh 0.2500 0.2500 0.2500 1
Rh2 Rh 0.2500 0.7500 0.7500 1
Rh3 Rh 0.7500 0.2500 0.7500 1
Rh4 Rh 0.7500 0.7500 0.2500 1
```

Computed properties:
* calculated formation energy: -0.05 eV/atom
* volume: 14.49 Å³/atom
* space-group type: No. 216